1.
Entry from the Alexandria database: crystalline Sc2Cd2Cl at its relaxed geometry (PBE).

Results
D(E_F) ... 3.34 states/eV/f.u.
Space-group type ... No. 127
Magnetic moment ... 0.00 μB per cell
Energy ... -3.841 eV per atom
Formation energy without anion corrections ... -0.57 eV/atom

abc: 6.787 6.787 4.976
angles: 90.00 90.00 90.00
Positions (direct):
Sc: 0.662 0.162 0.000
Sc: 0.838 0.662 0.000
Sc: 0.338 0.838 0.000
Sc: 0.162 0.338 0.000
Cd: 0.853 0.353 0.500
Cd: 0.147 0.647 0.500
Cd: 0.353 0.147 0.500
Cd: 0.647 0.853 0.500
Cl: 0.500 0.500 0.000
Cl: 0.000 0.000 0.000

---

2.
Entry from the Alexandria database: crystalline ReNi2As at its relaxed geometry (PBE).

Results
D(E_F) ... 5.08 states/eV/f.u.
Space-group type ... No. 123
ΔH_f (0 K) ... 0.30 eV per atom
Magnetic moment ... 0.82 μB per cell
Energy ... -6.863 eV per atom

abc: 4.504 4.504 2.659
angles: 90.00 90.00 90.00
Positions (direct):
Ni: 0.500 0.500 0.000
Ni: 0.000 0.000 0.000
Re: 0.500 0.000 0.500
As: 0.000 0.500 0.500

---

3.
Entry from the Alexandria database: crystalline YTe2Pt at its relaxed geometry (PBE).

Results
D(E_F) ... 3.50 states/eV/f.u.
Space-group type ... No. 71
Magnetic moment ... 0.00 μB per cell
Energy ... -5.501 eV per atom
Formation energy without anion corrections ... -0.80 eV/atom

abc: 7.468 7.468 7.468
angles: 149.16 143.00 48.91
Positions (direct):
Te: 0.108 0.108 0.000
Te: 0.392 0.392 0.000
Pt: 0.250 0.750 0.500
Y: 0.750 0.250 0.500

---

4.
Entry from the Alexandria database: crystalline NdDy4Sc8 at its relaxed geometry (PBE).

Results
D(E_F) ... 24.03 states/eV/f.u.
Space-group type ... No. 166
ΔH_f (0 K) ... 0.60 eV per atom
Magnetic moment ... 2.83 μB per cell
Energy ... -5.074 eV per atom

abc: 7.401 7.401 7.401
angles: 90.12 90.12 90.12
Positions (direct):
Dy: 0.000 0.500 0.500
Dy: 0.000 0.000 0.000
Dy: 0.500 0.000 0.500
Dy: 0.500 0.500 0.000
Sc: 0.238 0.238 0.761
Sc: 0.238 0.761 0.238
Sc: 0.239 0.762 0.762
Sc: 0.762 0.239 0.762
Sc: 0.762 0.762 0.239
Sc: 0.238 0.238 0.238
Sc: 0.761 0.238 0.238
Sc: 0.762 0.762 0.762
Nd: 0.500 0.500 0.500

---

5.
Entry from the Alexandria database: crystalline LaMg2Sc at its relaxed geometry (PBE).

Results
D(E_F) ... 4.43 states/eV/f.u.
Space-group type ... No. 12
ΔH_f (0 K) ... 0.04 eV per atom
Magnetic moment ... 0.00 μB per cell
Energy ... -3.572 eV per atom

abc: 5.838 5.838 5.803
angles: 78.53 78.53 34.48
Positions (direct):
Sc: 0.250 0.250 0.250
Mg: 0.990 0.990 0.025
Mg: 0.510 0.510 0.475
La: 0.750 0.750 0.750

---

6.
Entry from the Alexandria database: crystalline ZrCr3In at its relaxed geometry (PBE).

Results
D(E_F) ... 10.47 states/eV/f.u.
Space-group type ... No. 221
ΔH_f (0 K) ... 1.56 eV per atom
Magnetic moment ... 9.81 μB per cell
Energy ... -6.470 eV per atom

abc: 4.919 4.919 4.919
angles: 90.00 90.00 90.00
Positions (direct):
Zr: 0.500 0.500 0.500
Cr: 0.500 0.000 0.000
Cr: 0.000 0.000 0.500
Cr: 0.000 0.500 0.000
In: 0.000 0.000 0.000

---

7.
Entry from the Alexandria database: crystalline Be3AgH at its relaxed geometry (PBE).

Results
D(E_F) ... 2.10 states/eV/f.u.
Space-group type ... No. 221
Magnetic moment ... 0.00 μB per cell
Energy ... -2.115 eV per atom

abc: 4.362 4.362 4.362
angles: 90.00 90.00 90.00
Positions (direct):
Be: 0.500 0.000 0.000
Be: 0.000 0.500 0.000
Be: 0.000 0.000 0.500
H: 0.500 0.500 0.500
Ag: 0.000 0.000 0.000

---

8.
Entry from the Alexandria database: crystalline Cs6RbAuF at its relaxed geometry (PBE).

Results
D(E_F) ... 6.71 states/eV/f.u.
Space-group type ... No. 149
Magnetic moment ... 0.00 μB per cell
Energy ... -1.845 eV per atom
Formation energy without anion corrections ... -0.60 eV/atom

abc: 9.244 9.244 9.312
angles: 90.01 89.99 59.99
Positions (direct):
Cs: 0.382 0.030 0.704
Cs: 0.588 0.382 0.704
Cs: 0.030 0.588 0.704
Cs: 0.030 0.382 0.296
Cs: 0.588 0.030 0.296
Cs: 0.382 0.588 0.296
Au: 0.667 0.667 0.500
F: 0.333 0.333 0.500
Rb: 0.000 0.000 0.000

---

9.
Entry from the Alexandria database: crystalline Li4PRh at its relaxed geometry (PBE).

Results
D(E_F) ... 0.75 states/eV/f.u.
Space-group type ... No. 216
ΔH_f (0 K) ... -0.11 eV per atom
Magnetic moment ... 0.00 μB per cell
Energy ... -3.511 eV per atom

abc: 4.642 4.642 4.642
angles: 60.00 60.00 60.00
Positions (direct):
Li: 0.374 0.374 0.879
Li: 0.374 0.879 0.374
Li: 0.374 0.374 0.374
Li: 0.879 0.374 0.374
P: 0.750 0.750 0.750
Rh: 0.000 0.000 0.000

---

10.
Entry from the Alexandria database: crystalline KNa2TlH at its relaxed geometry (PBE).

Results
D(E_F) ... 1.67 states/eV/f.u.
Space-group type ... No. 123
Magnetic moment ... 0.00 μB per cell
Energy ... -1.906 eV per atom

abc: 5.061 5.061 5.329
angles: 90.00 90.00 90.00
Positions (direct):
Tl: 0.500 0.500 0.500
H: 0.000 0.000 0.000
K: 0.000 0.000 0.500
Na: 0.500 0.000 0.000
Na: 0.000 0.500 0.000

---

11.
Entry from the Alexandria database: crystalline NaLi4Hg8 at its relaxed geometry (PBE).

Results
D(E_F) ... 6.54 states/eV/f.u.
Space-group type ... No. 166
ΔH_f (0 K) ... -0.19 eV per atom
Magnetic moment ... 0.00 μB per cell
Energy ... -1.064 eV per atom

abc: 6.755 6.755 6.755
angles: 89.91 89.91 89.91
Positions (direct):
Hg: 0.746 0.255 0.255
Hg: 0.255 0.746 0.255
Hg: 0.254 0.745 0.745
Hg: 0.255 0.255 0.746
Hg: 0.254 0.254 0.254
Hg: 0.745 0.254 0.745
Hg: 0.746 0.746 0.746
Hg: 0.745 0.745 0.254
Li: 0.500 0.500 0.000
Li: 0.500 0.500 0.500
Li: 0.500 0.000 0.500
Li: 0.000 0.500 0.500
Na: 0.000 0.000 0.000

---

12.
Entry from the Alexandria database: crystalline Pr2AlSn at its relaxed geometry (PBE).

Results
D(E_F) ... 4.04 states/eV/f.u.
Space-group type ... No. 11
ΔH_f (0 K) ... -0.60 eV per atom
Magnetic moment ... 0.31 μB per cell
Energy ... -4.930 eV per atom

abc: 4.322 6.323 9.357
angles: 111.72 90.00 90.00
Positions (direct):
Sn: 0.250 0.346 0.212
Sn: 0.750 0.654 0.788
Al: 0.750 0.651 0.288
Al: 0.250 0.349 0.712
Pr: 0.250 0.783 0.566
Pr: 0.250 0.779 0.074
Pr: 0.750 0.217 0.434
Pr: 0.750 0.221 0.926

---

13.
Entry from the Alexandria database: crystalline Pr2ZnBPt6 at its relaxed geometry (PBE).

Results
D(E_F) ... 3.58 states/eV/f.u.
Space-group type ... No. 166
ΔH_f (0 K) ... -0.85 eV per atom
Magnetic moment ... 0.00 μB per cell
Energy ... -6.227 eV per atom

abc: 5.713 7.364 7.364
angles: 45.65 67.17 90.00
Positions (direct):
Pt: 0.264 0.218 0.472
Pt: 0.736 0.782 0.528
Pt: 0.781 0.736 0.954
Pt: 0.264 0.736 0.954
Pt: 0.219 0.264 0.046
Pt: 0.736 0.264 0.046
Pr: 0.288 0.712 0.423
Pr: 0.712 0.288 0.577
B: 0.500 0.500 0.000
Zn: 0.000 0.000 0.000

---

14.
Entry from the Alexandria database: crystalline Y2CdGaH at its relaxed geometry (PBE).

Results
D(E_F) ... 3.47 states/eV/f.u.
Space-group type ... No. 123
Magnetic moment ... 0.00 μB per cell
Energy ... -4.396 eV per atom

abc: 4.800 4.800 4.279
angles: 90.00 90.00 90.00
Positions (direct):
Cd: 0.000 0.000 0.500
Y: 0.000 0.500 0.000
Y: 0.500 0.000 0.000
H: 0.000 0.000 0.000
Ga: 0.500 0.500 0.500

---

15.
Entry from the Alexandria database: crystalline DyMgRh at its relaxed geometry (PBE).

Results
D(E_F) ... 1.31 states/eV/f.u.
Space-group type ... No. 216
ΔH_f (0 K) ... -0.51 eV per atom
Magnetic moment ... 0.00 μB per cell
Energy ... -5.022 eV per atom

abc: 4.625 4.625 4.625
angles: 60.00 60.00 60.00
Positions (direct):
Dy: 0.000 0.000 0.000
Mg: 0.500 0.500 0.500
Rh: 0.250 0.250 0.250

---

16.
Entry from the Alexandria database: crystalline Ce4ReI5 at its relaxed geometry (PBE).

Results
D(E_F) ... 24.64 states/eV/f.u.
Space-group type ... No. 12
Magnetic moment ... 4.40 μB per cell
Energy ... -5.317 eV per atom
Formation energy without anion corrections ... -0.92 eV/atom

abc: 4.261 9.187 9.979
angles: 102.99 102.33 90.00
Positions (direct):
Re: 0.500 0.000 0.000
I: 0.833 0.657 0.665
I: 0.167 0.343 0.335
I: 0.500 0.500 0.000
I: 0.827 0.173 0.654
I: 0.173 0.827 0.346
Ce: 0.001 0.791 0.002
Ce: 0.642 0.073 0.283
Ce: 0.358 0.927 0.717
Ce: 0.999 0.209 0.998

---

17.
Entry from the Alexandria database: crystalline AlTl2Hg at its relaxed geometry (PBE).

Results
D(E_F) ... 1.24 states/eV/f.u.
Space-group type ... No. 12
ΔH_f (0 K) ... 0.18 eV per atom
Magnetic moment ... 0.00 μB per cell
Energy ... -2.014 eV per atom

abc: 5.821 5.821 3.288
angles: 82.80 82.80 101.63
Positions (direct):
Tl: 0.000 0.000 0.000
Tl: 0.500 0.500 0.000
Al: 0.500 0.000 0.500
Hg: 0.000 0.500 0.500

---

18.
Entry from the Alexandria database: crystalline Rb2ZnSiBr6 at its relaxed geometry (PBE).

Results
D(E_F) ... 0.00 states/eV/f.u.
Space-group type ... No. 225
Magnetic moment ... 0.00 μB per cell
Energy ... -2.883 eV per atom
Formation energy without anion corrections ... -1.02 eV/atom

abc: 7.622 7.622 7.622
angles: 60.00 60.00 90.00
Positions (direct):
Br: 0.752 0.752 0.000
Br: 0.248 0.248 0.000
Br: 0.753 0.753 0.495
Br: 0.247 0.247 0.505
Br: 0.752 0.248 0.000
Br: 0.248 0.752 0.000
Rb: 0.250 0.750 0.500
Rb: 0.750 0.250 0.500
Zn: 0.000 0.000 0.000
Si: 0.500 0.500 0.000

---

19.
Entry from the Alexandria database: crystalline PmNd2SmSb4 at its relaxed geometry (PBE).

Results
D(E_F) ... 1.03 states/eV/f.u.
Space-group type ... No. 10
Magnetic moment ... 0.00 μB per cell
Energy ... -5.622 eV per atom
Formation energy without anion corrections ... -1.19 eV/atom

abc: 4.505 7.799 7.799
angles: 70.53 90.00 90.00
Positions (direct):
Nd: 0.000 0.000 0.000
Nd: 0.500 0.000 0.500
Sb: 0.500 0.748 0.250
Sb: 0.000 0.253 0.248
Sb: 0.000 0.747 0.752
Sb: 0.500 0.252 0.750
Pm: 0.000 0.500 0.500
Sm: 0.500 0.500 0.000

---

20.
Entry from the Alexandria database: crystalline SmTh3Fe at its relaxed geometry (PBE).

Results
D(E_F) ... 9.81 states/eV/f.u.
Space-group type ... No. 221
ΔH_f (0 K) ... 0.06 eV per atom
Magnetic moment ... 0.00 μB per cell
Energy ... -7.025 eV per atom

abc: 5.332 5.332 5.332
angles: 90.00 90.00 90.00
Positions (direct):
Th: 0.500 0.000 0.000
Th: 0.000 0.000 0.500
Th: 0.000 0.500 0.000
Fe: 0.000 0.000 0.000
Sm: 0.500 0.500 0.500